Material: BeAs2SeI
Method: DFT, PBE-GGA
State: optimized geometry

Values from the calculation:
* space-group type: P4/mmm
* energy relative to the elements, uncorrected: 1.63 eV/atom

a = 5.443 Å, b = 5.443 Å, c = 5.305 Å
α = 90.00°, β = 90.00°, γ = 90.00°
Fractional positions:
Be  0.000  0.000  0.000
As  0.000  0.500  0.500
As  0.500  0.000  0.500
Se  0.500  0.500  0.000
I  0.500  0.500  0.500

=====

Material: GaBi3
Method: DFT, PBE-GGA
State: optimized geometry

Values from the calculation:
* space-group type: Pmm2
* ΔE_f: 0.132 eV per atom

a = 4.813 Å, b = 6.223 Å, c = 4.237 Å
α = 90.00°, β = 90.00°, γ = 90.00°
Fractional positions:
Ga  0.000  0.000  0.000
Bi  0.000  0.500  0.057
Bi  0.500  0.000  0.525
Bi  0.500  0.500  0.548

=====

Material: MgPtPb2N
Method: DFT, PBE-GGA
State: optimized geometry

Values from the calculation:
* space-group type: P4/mmm
* energy relative to the elements, uncorrected: 0.28 eV/atom

a = 5.905 Å, b = 5.905 Å, c = 3.667 Å
α = 90.00°, β = 90.00°, γ = 90.00°
Fractional positions:
Mg  0.000  0.000  0.000
Pt  0.500  0.500  0.500
Pb  0.000  0.500  0.500
Pb  0.500  0.000  0.500
N  0.500  0.500  0.000

=====

Material: Np2CuS5
Method: DFT, PBE-GGA
State: optimized geometry

Values from the calculation:
* space-group type: Cmcm
* energy relative to the elements, uncorrected: -0.86 eV/atom

a = 6.801 Å, b = 6.801 Å, c = 12.704 Å
α = 90.00°, β = 90.00°, γ = 135.26°
Fractional positions:
Np  0.146  0.854  0.564
Np  0.146  0.854  0.936
Np  0.854  0.146  0.064
Np  0.854  0.146  0.436
Cu  0.173  0.827  0.250
Cu  0.827  0.173  0.750
S  0.052  0.948  0.118
S  0.052  0.948  0.382
S  0.245  0.755  0.750
S  0.328  0.672  0.046
S  0.328  0.672  0.454
S  0.672  0.328  0.546
S  0.672  0.328  0.954
S  0.755  0.245  0.250
S  0.948  0.052  0.618
S  0.948  0.052  0.882

=====

Material: ThPaN
Method: DFT, PBE-GGA
State: optimized geometry

Values from the calculation:
* space-group type: F-43m
* energy relative to the elements, uncorrected: 0.04 eV/atom

a = 4.359 Å, b = 4.359 Å, c = 4.359 Å
α = 60.00°, β = 60.00°, γ = 60.00°
Fractional positions:
Th  0.000  0.000  0.000
Pa  0.500  0.500  0.500
N  0.750  0.750  0.750

=====

Material: ReSbOs3
Method: DFT, PBE-GGA
State: optimized geometry

Values from the calculation:
* space-group type: Pm-3m
* energy relative to the elements, uncorrected: 2.06 eV/atom

a = 4.746 Å, b = 4.746 Å, c = 4.746 Å
α = 90.00°, β = 90.00°, γ = 90.00°
Fractional positions:
Re  0.000  0.000  0.000
Sb  0.500  0.500  0.500
Os  0.000  0.000  0.500
Os  0.000  0.500  0.000
Os  0.500  0.000  0.000

=====

Material: ReS2ClO9
Method: DFT, PBE-GGA
State: optimized geometry

Values from the calculation:
* space-group type: P-1
* energy relative to the elements, uncorrected: -1.18 eV/atom

a = 7.421 Å, b = 8.058 Å, c = 8.421 Å
α = 90.11°, β = 100.86°, γ = 111.85°
Fractional positions:
Re  0.232  0.196  0.300
Re  0.768  0.804  0.700
S  0.086  0.229  0.880
S  0.335  0.852  0.216
S  0.665  0.148  0.784
S  0.914  0.771  0.120
Cl  0.002  0.311  0.310
Cl  0.998  0.689  0.690
O  0.030  0.037  0.827
O  0.120  0.757  0.085
O  0.160  0.352  0.764
O  0.209  0.275  0.044
O  0.225  0.095  0.478
O  0.307  0.794  0.373
O  0.364  0.055  0.208
O  0.442  0.385  0.346
O  0.472  0.821  0.135
O  0.528  0.179  0.865
O  0.558  0.615  0.654
O  0.636  0.945  0.792
O  0.693  0.206  0.627
O  0.775  0.905  0.522
O  0.791  0.725  0.956
O  0.840  0.648  0.236
O  0.880  0.243  0.915
O  0.970  0.963  0.173

=====

Material: La2HgRh
Method: DFT, PBE-GGA
State: optimized geometry

Values from the calculation:
* space-group type: P4/mmm
* ΔE_f: -0.597 eV per atom

a = 3.694 Å, b = 3.694 Å, c = 7.742 Å
α = 90.00°, β = 90.00°, γ = 90.00°
Fractional positions:
La  0.000  0.000  0.218
La  0.000  0.000  0.782
Hg  0.500  0.500  0.500
Rh  0.500  0.500  0.000

=====

Material: RbUBeSe3
Method: DFT, PBE-GGA
State: optimized geometry

Values from the calculation:
* space-group type: P2_1/m
* energy relative to the elements, uncorrected: -1.03 eV/atom

a = 9.725 Å, b = 3.978 Å, c = 9.755 Å
α = 90.00°, β = 111.16°, γ = 90.00°
Fractional positions:
Rb  0.239  0.250  0.204
Rb  0.761  0.750  0.796
U  0.142  0.250  0.663
U  0.858  0.750  0.337
Be  0.392  0.750  0.920
Be  0.608  0.250  0.080
Se  0.154  0.750  0.885
Se  0.174  0.750  0.464
Se  0.468  0.250  0.835
Se  0.532  0.750  0.165
Se  0.826  0.250  0.536
Se  0.846  0.250  0.115

=====

Material: Ta2MoPt
Method: DFT, PBE-GGA
State: optimized geometry

Values from the calculation:
* space-group type: Pmmm
* ΔE_f: -0.204 eV per atom

a = 2.828 Å, b = 3.953 Å, c = 6.074 Å
α = 90.00°, β = 90.00°, γ = 90.00°
Fractional positions:
Ta  0.000  0.000  0.248
Ta  0.000  0.000  0.752
Mo  0.500  0.500  0.500
Pt  0.500  0.500  0.000

=====

Material: ZnW3S
Method: DFT, PBE-GGA
State: optimized geometry

Values from the calculation:
* space-group type: Pm-3m
* energy relative to the elements, uncorrected: 0.92 eV/atom

a = 4.414 Å, b = 4.414 Å, c = 4.414 Å
α = 90.00°, β = 90.00°, γ = 90.00°
Fractional positions:
Zn  0.000  0.000  0.000
W  0.000  0.500  0.500
W  0.500  0.000  0.500
W  0.500  0.500  0.000
S  0.500  0.500  0.500

=====

Material: Sr2TaSi
Method: DFT, PBE-GGA
State: optimized geometry

Values from the calculation:
* space-group type: P4/mmm
* energy relative to the elements, uncorrected: 0.71 eV/atom

a = 4.468 Å, b = 4.468 Å, c = 4.986 Å
α = 90.00°, β = 90.00°, γ = 90.00°
Fractional positions:
Sr  0.000  0.500  0.000
Sr  0.500  0.000  0.000
Ta  0.000  0.000  0.500
Si  0.500  0.500  0.500

=====

| no. | DOS(E_F) (states/eV/cell) |
| --- | --- |
| 1 | 5.29 |
| 2 | 1.83 |
| 3 | 2.21 |
| 4 | 41.32 |
| 5 | 6.58 |
| 6 | 7.26 |
| 7 | 0.00 |
| 8 | 2.65 |
| 9 | 9.59 |
| 10 | 3.16 |
| 11 | 2.67 |
| 12 | 4.39 |